Record 1
Computed, not measured: crystalline Y2Fe at its relaxed geometry at the PBE level of DFT.

Values from the calculation:
Electronic total energy = -63.13 eV for the cell shown

a = 7.8215 Å, b = 7.8215 Å, c = 4.0551 Å
α = 90.00°, β = 90.00°, γ = 120.00°
Space group P-62m (No. 189)
One atom of each set of equivalent atoms:
Y (0.0000, 0.2520, 0.0000)
Y (0.0000, 0.5915, 0.5000)
Fe (0.0000, 0.0000, 0.5000)
Fe (0.3333, 0.6667, 0.0000)

Record 2
Computed, not measured: crystalline YFe at its relaxed geometry at the PBE level of DFT.

Values from the calculation:
Electronic total energy = -87.74 eV for the cell shown

a = 11.257 Å, b = 3.483 Å, c = 6.755 Å
α = 90.00°, β = 106.52°, γ = 90.00°
Space group Cm (No. 8)
One atom of each set of equivalent atoms:
Y (0.000, 0.000, 0.000)
Y (0.036, 0.000, 0.538)
Y (0.243, 0.500, 0.356)
Fe (0.203, 0.500, 0.840)
Fe (0.304, 0.000, 0.066)
Fe (0.318, 0.000, 0.717)

Record 3
Computed, not measured: crystalline Y3Fe at its relaxed geometry at the PBE level of DFT.

Values from the calculation:
Electronic total energy = -26.56 eV for the cell shown

a = 3.641 Å, b = 5.184 Å, c = 5.621 Å
α = 90.00°, β = 90.00°, γ = 90.00°
Space group Pmm2 (No. 25)
One atom of each set of equivalent atoms:
Y (0.000, 0.000, 0.000)
Y (0.000, 0.500, 0.383)
Y (0.500, 0.500, 0.854)
Fe (0.500, 0.000, 0.525)

Record 4
Computed, not measured: crystalline YFe3 at its relaxed geometry at the PBE level of DFT.

Values from the calculation:
Electronic total energy = -63.11 eV for the cell shown

a = 4.202 Å, b = 5.576 Å, c = 5.608 Å
α = 90.00°, β = 90.00°, γ = 90.00°
Space group Pmmn (No. 59, origin choice 2)
One atom of each set of equivalent atoms:
Y (0.250, 0.250, 0.115)
Fe (0.250, 0.036, 0.617)
Fe (0.250, 0.750, 0.293)

Record 5
Computed, not measured: crystalline YFe at its relaxed geometry at the PBE level of DFT.

Values from the calculation:
Electronic total energy = -70.47 eV for the cell shown

a = 7.538 Å, b = 7.538 Å, c = 7.538 Å
α = 90.00°, β = 90.00°, γ = 90.00°
Space group Pm-3n (No. 223)
One atom of each set of equivalent atoms:
Y (0.000, 0.250, 0.500)
Fe (0.000, 0.500, 0.250)

Record 6
Computed, not measured: crystalline YFe3 at its relaxed geometry at the PBE level of DFT.

Values from the calculation:
Electronic total energy = -123.90 eV for the cell shown

a = 5.8318 Å, b = 5.8318 Å, c = 8.6281 Å
α = 90.00°, β = 90.00°, γ = 120.00°
Space group P6_3/mmc (No. 194)
One atom of each set of equivalent atoms:
Y (0.0000, 0.0000, 0.0000)
Y (0.3333, 0.6667, 0.2500)
Fe (0.0000, 0.5000, 0.0000)
Fe (0.1990, 0.3979, 0.7500)

Record 7
Computed, not measured: crystalline Y3Fe5 at its relaxed geometry at the PBE level of DFT.

Values from the calculation:
Electronic total energy = -121.87 eV for the cell shown
Excess energy over the best structure of this formula in the dataset = 0.0 meV/atom

a = 6.100 Å, b = 7.138 Å, c = 7.909 Å
α = 87.10°, β = 72.22°, γ = 67.18°
Space group P1 (No. 1)
One atom of each set of equivalent atoms:
Y (0.000, 0.000, 0.000)
Y (0.004, 0.509, 0.090)
Y (0.167, 0.399, 0.483)
Y (0.480, 0.711, 0.476)
Y (0.498, 0.084, 0.743)
Y (0.625, 0.492, 0.843)
Fe (0.019, 0.064, 0.624)
Fe (0.178, 0.043, 0.290)
Fe (0.287, 0.684, 0.195)
Fe (0.444, 0.198, 0.102)
Fe (0.574, 0.842, 0.053)
Fe (0.611, 0.385, 0.207)
Fe (0.617, 0.031, 0.323)
Fe (0.763, 0.248, 0.444)
Fe (0.932, 0.835, 0.457)
Fe (0.946, 0.753, 0.752)

Record 8
Computed, not measured: crystalline Y2Fe at its relaxed geometry at the PBE level of DFT.

Values from the calculation:
Electronic total energy = -145.57 eV for the cell shown

a = 8.649 Å, b = 8.649 Å, c = 8.649 Å
α = 90.00°, β = 90.00°, γ = 90.00°
Space group Fd-3m (No. 227, origin choice 2)
One atom of each set of equivalent atoms:
Y (0.000, 0.000, 0.000)
Fe (0.125, 0.125, 0.625)